1.
VASP calculation (PBE-GGA) on Ca2TaRe after structural relaxation.

Values from the calculation:
Mass density, g/cm³: 5.3
Fermi-level density of states, states/eV/cell: 17.7
Energy above the most stable polymorph in this dataset, eV per atom: 0.9115
Size of the total moment, μB per formula unit: 0.0

Cell and atoms, written as POSCAR:
```
Ca2TaRe
1.0
10.813 0.000 0.000
0.000 10.813 0.000
0.000 0.000 4.773
Ca Ta Re
8 4 4
Direct
0.096 0.250 0.125
0.250 0.596 0.375
0.250 0.904 0.875
0.404 0.250 0.625
0.596 0.750 0.625
0.750 0.096 0.875
0.750 0.404 0.375
0.904 0.750 0.125
0.000 0.000 0.500
0.000 0.500 0.750
0.500 0.000 0.250
0.500 0.500 0.000
0.000 0.000 0.000
0.000 0.500 0.250
0.500 0.000 0.750
0.500 0.500 0.500
```

2.
VASP calculation (PBE-GGA) on La6Y8Er after structural relaxation.

Values from the calculation:
Mass density, g/cm³: 5.5
Fermi-level density of states, states/eV/cell: 25.0
Size of the total moment, μB per formula unit: 0.0
VASP energy, eV/atom: -5.613

Cell and atoms, written as POSCAR:
```
La6Y8Er
1.0
4.578 2.643 7.128
-4.578 2.643 7.128
0.000 -5.286 7.128
La Y Er
6 8 1
Direct
0.036 0.734 0.591
0.266 0.409 0.964
0.409 0.964 0.266
0.591 0.036 0.734
0.734 0.591 0.036
0.964 0.266 0.409
0.077 0.077 0.077
0.204 0.266 0.614
0.266 0.614 0.204
0.386 0.796 0.734
0.614 0.204 0.266
0.734 0.386 0.796
0.796 0.734 0.386
0.923 0.923 0.923
0.500 0.500 0.500
```

3.
VASP calculation (PBE-GGA) on BaTl2Rh after structural relaxation.

Values from the calculation:
Mass density, g/cm³: 9.8
Fermi-level density of states, states/eV/cell: 16.9
Size of the total moment, μB per formula unit: 0.0
VASP energy, eV/atom: -3.761

Cell and atoms, written as POSCAR:
```
BaTl2Rh
1.0
16.952 0.000 0.000
0.000 8.322 0.000
0.000 0.000 6.250
Ba Tl Rh
8 16 8
Direct
0.102 0.250 0.233
0.138 0.750 0.035
0.362 0.250 0.535
0.398 0.750 0.733
0.602 0.250 0.267
0.638 0.750 0.465
0.862 0.250 0.965
0.898 0.750 0.767
0.042 0.056 0.729
0.042 0.444 0.729
0.212 0.549 0.527
0.212 0.951 0.527
0.288 0.049 0.027
0.288 0.451 0.027
0.458 0.556 0.229
0.458 0.944 0.229
0.542 0.056 0.771
0.542 0.444 0.771
0.712 0.549 0.973
0.712 0.951 0.973
0.788 0.049 0.473
0.788 0.451 0.473
0.958 0.556 0.271
0.958 0.944 0.271
0.073 0.750 0.508
0.188 0.250 0.769
0.312 0.750 0.269
0.427 0.250 0.008
0.573 0.750 0.992
0.688 0.250 0.731
0.812 0.750 0.231
0.927 0.250 0.492
```

4.
VASP calculation (PBE-GGA) on BaFeSi after structural relaxation.

Values from the calculation:
Mass density, g/cm³: 4.2
Fermi-level density of states, states/eV/cell: 27.5
Uncorrected formation energy, eV/atom: 0.67
Size of the total moment, μB per formula unit: 3.9

Cell and atoms, written as POSCAR:
```
BaFeSi
1.0
7.021 0.000 0.000
0.000 7.021 0.000
0.000 0.000 7.021
Ba Fe Si
4 4 4
Direct
0.000 0.000 0.000
0.000 0.500 0.500
0.500 0.000 0.500
0.500 0.500 0.000
0.000 0.000 0.500
0.000 0.500 0.000
0.500 0.000 0.000
0.500 0.500 0.500
0.250 0.250 0.750
0.250 0.750 0.250
0.750 0.250 0.250
0.750 0.750 0.750
```